Record 1
# NaPAu meta-GGA SCAN single point on PBEsol structure
# Formation enthalpy at 0 K = -0.459 eV/atom
data_NaPAu
_cell_length_a 5.3049
_cell_length_b 5.3049
_cell_length_c 5.7833
_cell_angle_alpha 94.44
_cell_angle_beta 116.11
_cell_angle_gamma 115.84
_symmetry_space_group_name_H-M 'P 1'
_symmetry_Int_Tables_number 1
_symmetry_space_group_name_Hall 'P 1'
loop_
_atom_site_label
_atom_site_type_symbol
_atom_site_fract_x
_atom_site_fract_y
_atom_site_fract_z
P1 P 0.1899 0.0052 0.1952
Au1 Au 0.5000 0.5000 0.5000
Au2 Au 0.0000 0.0000 0.5000
Na1 Na 0.7600 0.3770 0.1370
P2 P 0.8101 0.9948 0.8048
Na2 Na 0.2400 0.6230 0.8630

Record 2
# NaPb3Au meta-GGA SCAN single point on PBEsol structure
# Formation enthalpy at 0 K = 0.150 eV/atom
data_NaPb3Au
_cell_length_a 5.5394
_cell_length_b 5.5394
_cell_length_c 5.5394
_cell_angle_alpha 90.00
_cell_angle_beta 90.00
_cell_angle_gamma 90.00
_symmetry_space_group_name_H-M 'P 1'
_symmetry_Int_Tables_number 1
_symmetry_space_group_name_Hall 'P 1'
loop_
_atom_site_label
_atom_site_type_symbol
_atom_site_fract_x
_atom_site_fract_y
_atom_site_fract_z
Au1 Au 0.0000 0.0000 0.0000
Pb1 Pb 0.5000 0.0000 0.0000
Na1 Na 0.5000 0.5000 0.5000
Pb2 Pb 0.0000 0.0000 0.5000
Pb3 Pb 0.0000 0.5000 0.0000

Record 3
# Na2PdAu2 meta-GGA SCAN single point on PBEsol structure
# Formation enthalpy at 0 K = 0.137 eV/atom
data_Na2PdAu2
_cell_length_a 3.7105
_cell_length_b 3.7105
_cell_length_c 7.4114
_cell_angle_alpha 104.50
_cell_angle_beta 104.50
_cell_angle_gamma 90.00
_symmetry_space_group_name_H-M 'P 1'
_symmetry_Int_Tables_number 1
_symmetry_space_group_name_Hall 'P 1'
loop_
_atom_site_label
_atom_site_type_symbol
_atom_site_fract_x
_atom_site_fract_y
_atom_site_fract_z
Pd1 Pd 0.0000 0.0000 0.0000
Au1 Au 0.4059 0.4059 0.8119
Na1 Na 0.2500 0.7500 0.5000
Au2 Au 0.5941 0.5941 0.1881
Na2 Na 0.7500 0.2500 0.5000

Record 4
# Na3PdAu meta-GGA SCAN single point on PBEsol structure
# Formation enthalpy at 0 K = 0.230 eV/atom
data_Na3PdAu
_cell_length_a 5.3120
_cell_length_b 5.3120
_cell_length_c 5.3120
_cell_angle_alpha 90.00
_cell_angle_beta 90.00
_cell_angle_gamma 90.00
_symmetry_space_group_name_H-M 'P 1'
_symmetry_Int_Tables_number 1
_symmetry_space_group_name_Hall 'P 1'
loop_
_atom_site_label
_atom_site_type_symbol
_atom_site_fract_x
_atom_site_fract_y
_atom_site_fract_z
Na1 Na 0.5000 0.0000 0.0000
Na2 Na 0.0000 0.5000 0.0000
Au1 Au 0.0000 0.0000 0.0000
Na3 Na 0.0000 0.0000 0.5000
Pd1 Pd 0.5000 0.5000 0.5000

Record 5
# NaPd2Au2 meta-GGA SCAN single point on PBEsol structure
# Formation enthalpy at 0 K = -0.181 eV/atom
data_NaPd2Au2
_cell_length_a 2.7679
_cell_length_b 7.9953
_cell_length_c 7.9953
_cell_angle_alpha 90.00
_cell_angle_beta 90.00
_cell_angle_gamma 90.00
_symmetry_space_group_name_H-M 'P 1'
_symmetry_Int_Tables_number 1
_symmetry_space_group_name_Hall 'P 1'
loop_
_atom_site_label
_atom_site_type_symbol
_atom_site_fract_x
_atom_site_fract_y
_atom_site_fract_z
Au1 Au 0.0000 0.6710 0.1710
Pd1 Pd 0.5000 0.8753 0.3753
Na1 Na 0.0000 0.5000 0.5000
Pd2 Pd 0.5000 0.1247 0.6247
Na2 Na 0.0000 0.0000 0.0000
Au2 Au 0.0000 0.3290 0.8290
Pd3 Pd 0.5000 0.6247 0.8753
Au3 Au 0.0000 0.8290 0.6710
Au4 Au 0.0000 0.1710 0.3290
Pd4 Pd 0.5000 0.3753 0.1247

Record 6
# NaPrAu2 meta-GGA SCAN single point on PBEsol structure
# Formation enthalpy at 0 K = -0.756 eV/atom
data_NaPrAu2
_cell_length_a 5.0299
_cell_length_b 5.0299
_cell_length_c 5.0299
_cell_angle_alpha 60.00
_cell_angle_beta 60.00
_cell_angle_gamma 60.00
_symmetry_space_group_name_H-M 'P 1'
_symmetry_Int_Tables_number 1
_symmetry_space_group_name_Hall 'P 1'
loop_
_atom_site_label
_atom_site_type_symbol
_atom_site_fract_x
_atom_site_fract_y
_atom_site_fract_z
Pr1 Pr 0.0000 0.0000 0.0000
Na1 Na 0.5000 0.5000 0.5000
Au1 Au 0.7500 0.7500 0.7500
Au2 Au 0.2500 0.2500 0.2500

Record 7
# Na2PtAu meta-GGA SCAN single point on PBEsol structure
# Formation enthalpy at 0 K = -0.082 eV/atom
data_Na2PtAu
_cell_length_a 5.3039
_cell_length_b 6.1142
_cell_length_c 6.1142
_cell_angle_alpha 79.16
_cell_angle_beta 64.30
_cell_angle_gamma 64.30
_symmetry_space_group_name_H-M 'P 1'
_symmetry_Int_Tables_number 1
_symmetry_space_group_name_Hall 'P 1'
loop_
_atom_site_label
_atom_site_type_symbol
_atom_site_fract_x
_atom_site_fract_y
_atom_site_fract_z
Na1 Na 0.1288 0.9962 0.4962
Pt1 Pt 0.2500 0.5000 0.5000
Pt2 Pt 0.5000 0.0000 0.0000
Au1 Au 0.7500 0.5000 0.5000
Na2 Na 0.3750 0.4962 0.0038
Na3 Na 0.6212 0.0038 0.5038
Au2 Au 0.0000 0.0000 0.0000
Na4 Na 0.8750 0.5038 0.9962

Record 8
# Rb3NaAu meta-GGA SCAN single point on PBEsol structure
# Formation enthalpy at 0 K = -0.138 eV/atom
data_Rb3NaAu
_cell_length_a 6.6491
_cell_length_b 6.6491
_cell_length_c 6.6491
_cell_angle_alpha 90.00
_cell_angle_beta 90.00
_cell_angle_gamma 90.00
_symmetry_space_group_name_H-M 'P 1'
_symmetry_Int_Tables_number 1
_symmetry_space_group_name_Hall 'P 1'
loop_
_atom_site_label
_atom_site_type_symbol
_atom_site_fract_x
_atom_site_fract_y
_atom_site_fract_z
Rb1 Rb 0.0000 0.5000 0.0000
Rb2 Rb 0.0000 0.0000 0.5000
Rb3 Rb 0.5000 0.0000 0.0000
Na1 Na 0.5000 0.5000 0.5000
Au1 Au 0.0000 0.0000 0.0000

Magnetization, record by record: 0.0 0.0 0.0 0.0 0.0 0.0 0.0 0.8 μB per formula unit